# 1
Compound: Ag2BiPd2
Source: Alexandria via LeMat-Bulk
Functional: PBE-GGA
Structure: optimized geometry

The space group is C2/m (No. 12) and the conventional cell measures 8.769, 4.304 and 6.285 Å, with angles of 90.00, 128.38 and 90.00 degrees. The inequivalent atoms are Ag at (0.193, 0.000, 0.096), Bi at (0.000, 0.000, 0.500) and Pd at (0.099, 0.500, 0.299).

Its energy relative to the lowest polymorph listed for this composition is 0 meV per atom. The density of states at the Fermi level comes out at 3.7 states/eV/cell. The value obtained for the energy of formation is -0.1041 eV/atom.

# 2
Compound: ZrMn2HgCl
Source: Alexandria via LeMat-Bulk
Functional: PBE-GGA
Structure: optimized geometry

The space group is P4/mmm (No. 123) and the conventional cell measures 5.245, 5.245 and 4.956 Å, with angles of 90.00, 90.00 and 90.00 degrees. The inequivalent atoms are Zr at (0.000, 0.000, 0.000), Mn at (0.000, 0.500, 0.000), Hg at (0.500, 0.500, 0.500) and Cl at (0.000, 0.000, 0.500).

The density of states at the Fermi level comes out at 2.5 states/eV/cell. The energy relative to the elements, uncorrected is 0.64 eV per atom.

# 3
Compound: DyTm2In2Hg2
Source: Alexandria via LeMat-Bulk
Functional: PBE-GGA
Structure: optimized geometry

The space group is R-3m (No. 166, hexagonal axes) and the conventional cell measures 4.9302, 4.9302 and 26.1387 Å, with angles of 90.00, 90.00 and 120.00 degrees. The inequivalent atoms are Dy at (0.0000, 0.0000, 0.0000), Tm at (0.0000, 0.0000, 0.1319), In at (0.0000, 0.0000, 0.2686) and Hg at (0.0000, 0.0000, 0.4307).

The density of states at the Fermi level comes out at 12.3 states/eV/cell. The value obtained for the energy of formation is -0.2456 eV/atom.

# 4
Compound: Bi2Sb2Rh
Source: Alexandria via LeMat-Bulk
Functional: PBE-GGA
Structure: optimized geometry

The space group is P4/mbm (No. 127) and the conventional cell measures 6.780, 6.780 and 6.209 Å, with angles of 90.00, 90.00 and 90.00 degrees. The inequivalent atoms are Bi at (0.213, 0.287, 0.000), Sb at (0.150, 0.350, 0.500) and Rh at (0.000, 0.000, 0.500).

The density of states at the Fermi level comes out at 8.6 states/eV/cell. The energy relative to the elements, uncorrected is 0.02 eV per atom.